# TlGeIr3 | the Alexandria database | GGA-PBE | relaxed
data_TlGeIr3
_symmetry_space_group_name_H-M 'P 1'
_symmetry_Int_Tables_number 1
_cell_length_a 4.979
_cell_length_b 4.979
_cell_length_c 4.979
_cell_angle_alpha 90.00
_cell_angle_beta 90.00
_cell_angle_gamma 90.00
loop_
_symmetry_equiv_pos_as_xyz
'x,y,z'
loop_
_atom_site_label
_atom_site_fract_x
_atom_site_fract_y
_atom_site_fract_z
Tl1 0.000 0.000 0.000
Ge1 0.500 0.500 0.500
Ir1 0.000 0.000 0.500
Ir2 0.000 0.500 0.000
Ir3 0.500 0.000 0.000
# Symmetry ... No. 221
# Energy above the lowest structure with this stoichiometry ... 1336 meV/atom
# Density ... 11.48 g cm⁻³
# DFT formation energy ... 224 kJ per mole of atoms

---

# TbHo5 | the Alexandria database | GGA-PBE | relaxed
data_TbHo5
_symmetry_space_group_name_H-M 'P 1'
_symmetry_Int_Tables_number 1
_cell_length_a 7.879
_cell_length_b 7.879
_cell_length_c 4.976
_cell_angle_alpha 90.00
_cell_angle_beta 90.00
_cell_angle_gamma 143.15
loop_
_symmetry_equiv_pos_as_xyz
'x,y,z'
loop_
_atom_site_label
_atom_site_fract_x
_atom_site_fract_y
_atom_site_fract_z
Tb1 0.000 0.000 0.000
Ho1 0.167 0.833 0.500
Ho2 0.333 0.667 0.000
Ho3 0.500 0.500 0.500
Ho4 0.667 0.333 0.000
Ho5 0.833 0.167 0.500
# Symmetry ... No. 65
# Energy above the lowest structure with this stoichiometry ... 14 meV/atom
# Density ... 8.82 g cm⁻³
# DFT formation energy ... 2 kJ per mole of atoms

---

# ReBO3 | the Alexandria database | GGA-PBE | relaxed
data_ReBO3
_symmetry_space_group_name_H-M 'P 1'
_symmetry_Int_Tables_number 1
_cell_length_a 3.866
_cell_length_b 3.866
_cell_length_c 3.866
_cell_angle_alpha 90.00
_cell_angle_beta 90.00
_cell_angle_gamma 90.00
loop_
_symmetry_equiv_pos_as_xyz
'x,y,z'
loop_
_atom_site_label
_atom_site_fract_x
_atom_site_fract_y
_atom_site_fract_z
Re1 0.000 0.000 0.000
B1 0.500 0.500 0.500
O1 0.000 0.000 0.500
O2 0.000 0.500 0.000
O3 0.500 0.000 0.000
# Symmetry ... No. 221
# Formation energy (no corrections) ... -219 meV per atom
# Density ... 7.04 g cm⁻³

---

Number 1: total energy -21.978 eV per cell. Number 2: total energy -27.404 eV per cell. Number 3: total energy -35.097 eV per cell.